No. 1
## SrPr2Np3N8 (PBE)

Data for a geometry-optimized SrPr2Np3N8 structure.

Geometry as CIF:
```
data_SrPr2Np3N8
_chemical_formula_sum 'Sr3 Pr6 Np9 N24'
_cell_length_a 6.9720
_cell_length_b 6.9720
_cell_length_c 17.4150
_cell_angle_alpha 90.00
_cell_angle_beta 90.00
_cell_angle_gamma 120.00
_symmetry_space_group_name_H-M 'R 3 m'
_symmetry_Int_Tables_number 160
_symmetry_space_group_name_Hall 'R 3 -2"'
loop_
_atom_site_label
_atom_site_fract_x
_atom_site_fract_y
_atom_site_fract_z
Sr1 0.0000 0.0000 0.0000
Pr1 0.0000 0.0000 0.3795
Pr2 0.0000 0.0000 0.7625
Np1 0.0022 0.5011 0.8801
N1 0.0000 0.0000 0.1532
N2 0.0000 0.0000 0.6115
N3 0.0383 0.5191 0.1465
N4 0.1919 0.3838 0.9438
```

Computed properties:
ΔE_f (raw)	-108.6	kJ per mole of atoms
energy	-9.459	eV/atom

No. 2
## ThPOsN (PBE)

Data for a geometry-optimized ThPOsN structure.

Geometry as CIF:
```
data_ThPOsN
_chemical_formula_sum 'Th2 P2 Os2 N2'
_cell_length_a 4.078
_cell_length_b 4.078
_cell_length_c 8.354
_cell_angle_alpha 90.00
_cell_angle_beta 90.00
_cell_angle_gamma 90.00
_symmetry_space_group_name_H-M 'P 4/n m m'
_symmetry_Int_Tables_number 129
loop_
_symmetry_equiv_pos_as_xyz
'x,y,z'
'-x,-y,-z'
'-y+1/2,x,z'
'y+1/2,-x,-z'
'-x+1/2,-y+1/2,z'
'x+1/2,y+1/2,-z'
'y,-x+1/2,z'
'-y,x+1/2,-z'
'x+1/2,-y,-z'
'-x+1/2,y,z'
'-y,-x,-z'
'y,x,z'
'-x,y+1/2,-z'
'x,-y+1/2,z'
'y+1/2,x+1/2,-z'
'-y+1/2,-x+1/2,z'
loop_
_atom_site_label
_atom_site_fract_x
_atom_site_fract_y
_atom_site_fract_z
Th1 0.250 0.250 0.139
P1 0.250 0.250 0.642
Os1 0.250 0.750 0.500
N1 0.250 0.750 0.000
```

Computed properties:
ΔE_f (raw)	-113.5	kJ per mole of atoms
energy	-9.273	eV/atom

No. 3
## La6BN3O6 (PBE)

Data for a geometry-optimized La6BN3O6 structure.

Geometry as CIF:
```
data_La6BN3O6
_chemical_formula_sum 'La24 B4 N12 O24'
_cell_length_a 3.680
_cell_length_b 25.042
_cell_length_c 11.001
_cell_angle_alpha 90.00
_cell_angle_beta 90.00
_cell_angle_gamma 90.00
_symmetry_space_group_name_H-M 'C m c m'
_symmetry_Int_Tables_number 63
_symmetry_space_group_name_Hall '-C 2c 2'
loop_
_atom_site_label
_atom_site_fract_x
_atom_site_fract_y
_atom_site_fract_z
La1 0.000 0.048 0.250
La2 0.000 0.187 0.069
La3 0.000 0.199 0.750
La4 0.000 0.432 0.065
B1 0.000 0.360 0.750
N1 0.000 0.301 0.750
N2 0.000 0.389 0.634
O1 0.000 0.000 0.000
O2 0.000 0.123 0.606
O3 0.000 0.282 0.092
O4 0.000 0.487 0.250
```

Computed properties:
ΔE_f (raw)	-258.9	kJ per mole of atoms
energy	-8.369	eV/atom

No. 4
## LuPaTc2 (PBE)

Data for a geometry-optimized LuPaTc2 structure.

Geometry as CIF:
```
data_LuPaTc2
_chemical_formula_sum 'Lu1 Pa1 Tc2'
_cell_length_a 3.409
_cell_length_b 3.409
_cell_length_c 6.806
_cell_angle_alpha 90.00
_cell_angle_beta 90.00
_cell_angle_gamma 90.00
_symmetry_space_group_name_H-M 'P 4/m m m'
_symmetry_Int_Tables_number 123
_symmetry_space_group_name_Hall '-P 4 2'
loop_
_atom_site_label
_atom_site_fract_x
_atom_site_fract_y
_atom_site_fract_z
Lu1 0.000 0.000 0.000
Pa1 0.000 0.000 0.500
Tc1 0.500 0.500 0.274
```

Computed properties:
polymorph energy (0 for the lowest one)	0	meV per atom
energy relative to the elements	-26.6	kJ/mol of atoms
energy	-8.963	eV/atom

Question: energy of number 2 (ThPOsN)?
Answer: -9.273 eV/atom

Question: Which of these has the highest energy?
Answer: La6BN3O6

Question: energy of number 4 (LuPaTc2)?
Answer: -8.963 eV/atom

Question: energy of number 3 (La6BN3O6)?
Answer: -8.369 eV/atom